(1)
A relaxed structure of TcHgRh2. Source: Alexandria, functional PBE.

As for the crystal system: tetragonal. The raw total energy is -5.981 eV/atom. Its spin magnetization is 2.6 Bohr magnetons per cell.

The space group is P4/mmm (No. 123) and the conventional cell measures 4.108, 4.108 and 3.792 Å, with angles of 90.00, 90.00 and 90.00 degrees. The distinct sites, in fractional coordinates, are Tc at (0.000, 0.000, 0.000), Hg at (0.500, 0.500, 0.000) and Rh at (0.000, 0.500, 0.500).

(2)
A relaxed structure of Zr2InGa. Source: Alexandria, functional PBE.

As for the crystal system: cubic. The energy above the lowest structure with this stoichiometry is 4.708 kcal/mol of atoms. The raw total energy is -5.947 eV/atom. Its spin magnetization is 0.0 Bohr magnetons per cell.

The space group is Fm-3m (No. 225) and the conventional cell measures 6.934, 6.934 and 6.934 Å, with angles of 90.00, 90.00 and 90.00 degrees. The distinct sites, in fractional coordinates, are Zr at (0.250, 0.250, 0.250), In at (0.000, 0.000, 0.000) and Ga at (0.000, 0.000, 0.500).

| no. | ΔE_f (eV per atom) |
| --- | --- |
| 1 | 0.362 |
| 2 | -0.232 |